An optimized crystal structure of NaHfAu3S4. Source: the Open Quantum Materials Database, functional PBE.

It has space group P-43m (No. 215), with a = 6.065 Å, b = 6.065 Å, c = 6.065 Å, α = 90.00°, β = 90.00° and γ = 90.00°. Symmetry generates all atoms from Na at (0.000, 0.000, 0.000), Hf at (0.500, 0.500, 0.500), Au at (0.000, 0.500, 0.500) and S at (0.268, 0.268, 0.268).

The calculation puts the polymorph energy (0 for the lowest one) at 0 meV/atom.